A relaxed structure of Y2VRu. Source: the Alexandria database, functional PBE.

Energy relative to the elements = -0.0661 eV per atom
Crystal system = triclinic
Symmetry = P1

```
8
Lattice="5.583 0.000 0.000 0.295 5.726 0.000 2.638 0.328 5.562" Properties=species:S:1:pos:R:3 pbc="T T T"
Y 0.000 0.000 0.000
Y 2.651 3.445 3.551
Y 2.710 0.404 1.667
Y 5.461 1.501 3.663
V 5.558 4.305 4.984
V 4.524 2.976 1.000
Ru 1.313 2.946 0.792
Ru 5.409 4.526 2.691
```